Entry 1:
Sr3Tl5S12 | PBE | relaxed

abc: 16.4081 16.4081 16.4081
angles: 90.00 90.00 90.00
Closest atoms and distances in Å follow each position.
Space group Ia-3d (No. 230)
Inequivalent atoms, fractional coordinates:
Sr 0.0000 0.2500 0.1250 [24 per cell]  8 S 3.09-3.11
Tl 0.0000 0.0000 0.0000 [16 per cell]  6 S 2.72
Tl 0.0000 0.2500 0.3750 [24 per cell]  4 S 2.56
S 0.0221 0.0634 0.6512 [96 per cell]  2 Tl 2.56-2.72

Summary:
- formation energy from raw total energies (meV/atom) = -532.9
- E (eV/atom) = -3.85

***

Entry 2:
Rb2CuSb2 | PBE | relaxed

abc: 7.3753 7.3753 7.8317
angles: 90.00 90.00 90.00
Closest atoms and distances in Å follow each position.
Space group I4/mmm (No. 139)
Inequivalent atoms, fractional coordinates:
Rb 0.0000 0.5000 0.2500 [4 per cell]  4 Sb 3.73, 2 Rb 3.92
Cu 0.0000 0.0000 0.0000 [2 per cell]  2 Sb 2.49
Sb 0.0000 0.0000 0.3175 [4 per cell]  1 Cu 2.49

Summary:
- formation energy from raw total energies (meV/atom) = 73.8
- E (eV/atom) = -2.78

***

Entry 3:
Li3Ce3NiSe8 | PBE | relaxed

abc: 8.1427 8.1427 19.2639
angles: 90.00 90.00 120.00
Closest atoms and distances in Å follow each position.
Space group R-3m (No. 166, hexagonal axes)
Inequivalent atoms, fractional coordinates:
Li 0.0000 0.5000 0.0000 [9 per cell]  6 Se 2.80-2.82
Ce 0.0000 0.5000 0.5000 [9 per cell]  6 Se 2.90
Ni 0.0000 0.0000 0.5000 [3 per cell]  6 Se 2.62
Se 0.0000 0.0000 0.2547 [6 per cell]  3 Li 2.80, 3 Ce 2.90
Se 0.0305 0.5152 0.2455 [18 per cell]  1 Ni 2.62, 2 Li 2.82, 2 Ce 2.90

Summary:
- formation energy from raw total energies (meV/atom) = -1290.5
- E (eV/atom) = -5.10

***

Entry 4:
AsBrF3 | PBE | relaxed

abc: 7.3137 7.3137 8.4890
angles: 90.00 90.00 120.00
Closest atoms and distances in Å follow each position.
Space group R3m (No. 160, hexagonal axes)
Inequivalent atoms, fractional coordinates:
As 0.0000 0.0000 0.0000 [3 per cell]  3 F 1.76
Br 0.0000 0.0000 0.3125 [3 per cell]  1 As 2.65
F 0.2123 0.4247 0.5649 [9 per cell]  1 As 1.76

Summary:
- formation energy from raw total energies (meV/atom) = -1482.6
- E (eV/atom) = -3.87
- E above lowest polymorph (meV per atom) = 130

***

Entry 5:
TmCd2Au8 | PBE | relaxed

abc: 15.1933 4.2640 6.7389
angles: 90.00 105.92 90.00
Closest atoms and distances in Å follow each position.
Space group C2/m (No. 12)
Inequivalent atoms, fractional coordinates:
Tm 0.0000 0.0000 0.0000 [2 per cell]  12 Au 2.96-3.01
Cd 0.2242 0.5000 0.6471 [4 per cell]  10 Au 2.93-3.02, 2 Cd 3.15
Au 0.0426 0.5000 0.7258 [4 per cell]  9 Au 2.95-3.05, 1 Cd 2.95, 2 Tm 3.01
Au 0.0947 0.0000 0.4547 [4 per cell]  3 Cd 2.95-3.01, 8 Au 2.98-3.10, 1 Tm 3.01
Au 0.1370 0.5000 0.1866 [4 per cell]  7 Au 2.95-3.04, 3 Cd 2.99-3.02, 2 Tm 3.00
Au 0.1804 0.0000 0.9121 [4 per cell]  3 Cd 2.93-2.97, 1 Tm 2.96, 8 Au 3.00-3.02

Summary:
- E (eV/atom) = -3.29

***

Entry 6:
DyZnOs | PBE | relaxed

abc: 5.3266 5.3658 7.5942
angles: 90.00 90.00 90.00
Closest atoms and distances in Å follow each position.
Space group Imma (No. 74)
Inequivalent atoms, fractional coordinates:
Dy 0.0000 0.2500 0.1164 [4 per cell]  6 Os 3.08-3.16, 6 Zn 3.11-3.21, 4 Dy 3.21-3.35
Zn 0.0000 0.0000 0.5000 [4 per cell]  4 Os 2.68, 2 Zn 2.68
Os 0.2500 0.2500 0.7500 [4 per cell]  2 Os 2.66, 4 Zn 2.68

Summary:
- E (eV/atom) = -6.00

***

Entry 7:
Si2Hg2Au | PBE | relaxed

abc: 6.3555 6.3555 5.4206
angles: 90.00 90.00 90.00
Closest atoms and distances in Å follow each position.
Space group P4/mbm (No. 127)
Inequivalent atoms, fractional coordinates:
Si 0.1333 0.3667 0.0000 [4 per cell]  1 Si 2.40, 2 Au 2.48
Hg 0.1729 0.3271 0.5000 [4 per cell]  2 Si 2.73
Au 0.0000 0.0000 0.0000 [2 per cell]  4 Si 2.48

Summary:
- formation energy from raw total energies (meV/atom) = 92.0
- E (eV/atom) = -2.85
- E above lowest polymorph (meV per atom) = 0

***

Entry 8:
YPb2ClO4 | PBE | relaxed

abc: 3.9922 3.9922 8.8611
angles: 90.00 90.00 90.00
Closest atoms and distances in Å follow each position.
Space group P4/mmm (No. 123)
Inequivalent atoms, fractional coordinates:
Y 0.0000 0.0000 0.0000 [1 per cell]  8 O 2.39
Pb 0.5000 0.5000 0.2732 [2 per cell]  4 O 2.28
Cl 0.0000 0.0000 0.5000 [1 per cell]  8 Pb 3.47, 8 O 3.70
O 0.0000 0.5000 0.1482 [4 per cell]  2 Pb 2.28, 2 Y 2.39

Summary:
- formation energy from raw total energies (meV/atom) = -1689.5
- E (eV/atom) = -6.13

***

Entry 9:
La5Sn2SeO | PBE | relaxed

abc: 4.7514 4.7514 12.0453
angles: 90.00 90.00 90.00
Closest atoms and distances in Å follow each position.
Space group P4/mmm (No. 123)
Inequivalent atoms, fractional coordinates:
La 0.0000 0.0000 0.0000 [1 per cell]  4 Se 3.36, 2 Sn 3.43
La 0.0000 0.5000 0.5000 [2 per cell]  2 O 2.38
La 0.5000 0.5000 0.2414 [2 per cell]  1 Se 2.91, 1 O 3.11
Sn 0.0000 0.0000 0.2847 [2 per cell]  9 La 3.40-3.52
Se 0.5000 0.5000 0.0000 [1 per cell]  2 La 2.91
O 0.5000 0.5000 0.5000 [1 per cell]  4 La 2.38

Summary:
- formation energy from raw total energies (meV/atom) = -1432.5
- E (eV/atom) = -6.00

***

Entry 10:
LaYCoRh2 | PBE | relaxed

abc: 4.7604 4.7604 5.6373
angles: 90.00 90.00 90.00
Closest atoms and distances in Å follow each position.
Space group P4/mmm (No. 123)
Inequivalent atoms, fractional coordinates:
La 0.0000 0.0000 0.0000 [1 per cell]  4 Rh 2.38
Y 0.0000 0.0000 0.5000 [1 per cell]  2 La 2.82
Co 0.5000 0.5000 0.5000 [1 per cell]  4 Y 3.37, 8 Rh 3.69
Rh 0.0000 0.5000 0.0000 [2 per cell]  2 La 2.38

Summary:
- E (eV/atom) = -5.30

***

Entry 11:
TiCdRh2 | PBE | relaxed

abc: 6.9560 6.9560 5.7417
angles: 90.00 90.00 90.00
Closest atoms and distances in Å follow each position.
Space group I-42d (No. 122)
Inequivalent atoms, fractional coordinates:
Ti 0.0000 0.0000 0.0000 [4 per cell]  4 Rh 2.39
Cd 0.0000 0.0000 0.5000 [4 per cell]  4 Rh 2.75, 2 Ti 2.87
Rh 0.2114 0.7500 0.1250 [8 per cell]  2 Ti 2.39

Summary:
- E (eV/atom) = -6.04

***

Entry 12:
HfPa2Cu6 | PBE | relaxed

abc: 7.5452 7.5452 3.0385
angles: 90.00 90.00 120.00
Closest atoms and distances in Å follow each position.
Space group P6/mmm (No. 191)
Inequivalent atoms, fractional coordinates:
Hf 0.0000 0.0000 0.0000 [1 per cell]  12 Cu 2.91, 2 Hf 3.04
Pa 0.3333 0.6667 0.0000 [2 per cell]  12 Cu 2.95, 2 Pa 3.04
Cu 0.0000 0.3284 0.5000 [6 per cell]  3 Cu 2.48-2.59

Summary:
- E (eV/atom) = -6.02

***

Which of these has the lowest E? YPb2ClO4

***

What did the ninth record say?
La5Sn2SeO | PBE | relaxed

abc: 4.7514 4.7514 12.0453
angles: 90.00 90.00 90.00
Closest atoms and distances in Å follow each position.
Space group P4/mmm (No. 123)
Inequivalent atoms, fractional coordinates:
La 0.0000 0.0000 0.0000 [1 per cell]  4 Se 3.36, 2 Sn 3.43
La 0.0000 0.5000 0.5000 [2 per cell]  2 O 2.38
La 0.5000 0.5000 0.2414 [2 per cell]  1 Se 2.91, 1 O 3.11
Sn 0.0000 0.0000 0.2847 [2 per cell]  9 La 3.40-3.52
Se 0.5000 0.5000 0.0000 [1 per cell]  2 La 2.91
O 0.5000 0.5000 0.5000 [1 per cell]  4 La 2.38

Summary:
- formation energy from raw total energies (meV/atom) = -1432.5
- E (eV/atom) = -6.00